1.
4
Lattice="-2.636 -0.235 -2.597 -2.747 -2.463 0.365 -9.084 8.209 5.830" Properties=species:S:1:pos:R:3 comment="CsPm2Gd (PBE-GGA, optimized geometry)" magmom_total_mub_per_cell=7.05 spacegroup="R-3m (166)" e_form_ev_per_atom=0.296 total_energy_ry_per_atom=-0.4273 pbc="T T T"
Cs 0.000 0.000 0.000
Gd -7.234 2.755 1.799
Pm -7.000 5.604 3.950
Pm -7.468 -0.094 -0.352

2.
6
Lattice="-3.179 4.440 1.139 -2.579 2.718 -4.133 -5.544 -0.331 -0.523" Properties=species:S:1:pos:R:3 comment="CsGdPt4 (PBE-GGA, optimized geometry)" magmom_total_mub_per_cell=7.02 spacegroup="F-43m (216)" e_form_ev_per_atom=-0.453 total_energy_ry_per_atom=-0.5122 pbc="T T T"
Cs 0.000 0.000 0.000
Gd -2.826 1.707 -0.879
Pt -4.299 4.428 -1.936
Pt -5.774 2.911 -0.140
Pt -7.057 4.263 -2.196
Pt -5.475 2.054 -2.763

3.
28
Lattice="-0.258 -4.511 -4.641 1.347 -4.794 4.585 -17.632 -2.082 3.004" Properties=species:S:1:pos:R:3 comment="CsGdSiS4 (PBE-GGA, optimized geometry)" magmom_total_mub_per_cell=27.85 formation_energy_uncorrected_ev_per_atom=-1.456 spacegroup="P2_12_12_1 (19)" total_energy_ry_per_atom=-0.4941 pbc="T T T"
Cs -7.699 -5.518 1.435
Cs -16.380 -4.518 5.140
Cs -9.637 -5.565 -2.932
Cs 0.631 -7.172 2.254
Gd -4.969 -4.244 -2.743
Gd -3.367 -3.929 2.112
Gd -12.267 -5.110 3.024
Gd -12.480 -9.490 3.504
Si -2.508 -5.873 -0.570
Si -14.687 -2.756 1.598
Si -4.588 -6.714 4.159
Si -11.301 -7.431 0.710
S -13.940 -7.135 4.161
S -10.554 -7.488 2.716
S -2.745 -6.665 3.087
S -9.863 -3.919 3.906
S -4.508 -5.364 -0.031
S -12.634 -2.344 2.006
S -5.733 -2.381 1.663
S -2.002 -7.935 -0.245
S -5.221 -4.668 4.199
S -16.139 -6.216 -1.648
S -14.818 -4.891 1.688
S -2.491 -5.726 -2.706
S -13.197 -8.400 0.835
S -5.902 -8.060 3.192
S -11.410 -5.322 0.317
S -1.180 -4.578 0.448

4.
4
Lattice="3.682 0.000 0.000 1.841 3.189 0.000 1.841 1.063 13.208" Properties=species:S:1:pos:R:3 comment="CsSmGd2 (PBE-GGA, optimized geometry)" magmom_total_mub_per_cell=14.84 spacegroup="R-3m (166)" e_form_ev_per_atom=0.299 total_energy_ry_per_atom=-0.5979 pbc="T T T"
Cs 0.000 0.000 0.000
Gd 1.841 1.063 9.443
Gd 5.523 3.189 3.765
Sm 3.682 2.126 6.604

5.
4
Lattice="3.665 0.000 0.000 1.833 3.174 0.000 1.833 1.058 13.150" Properties=species:S:1:pos:R:3 comment="CsTbGd2 (PBE-GGA, optimized geometry)" magmom_total_mub_per_cell=14.76 spacegroup="R-3m (166)" e_form_ev_per_atom=0.301 total_energy_ry_per_atom=-0.5961 pbc="T T T"
Cs 0.000 0.000 0.000
Gd 1.833 1.058 9.381
Gd 5.498 3.174 3.769
Tb 3.665 2.116 6.575

6.
12
Lattice="-6.894 -0.273 -0.269 0.234 -6.839 0.922 -0.423 1.273 9.557" Properties=species:S:1:pos:R:3 comment="CsGdTe4 (PBE-GGA, optimized geometry)" magmom_total_mub_per_cell=13.91 formation_energy_uncorrected_ev_per_atom=-0.963 spacegroup="P4/nbm (125)" total_energy_ry_per_atom=-0.4077 pbc="T T T"
Cs -3.330 -3.556 0.326
Cs 0.000 0.000 0.000
Gd -3.541 -2.919 5.105
Gd -0.211 0.637 4.778
Te -2.374 -5.550 3.629
Te -5.870 -4.255 3.301
Te -1.049 -2.073 3.224
Te -4.545 -0.779 2.897
Te -1.144 -3.571 7.176
Te -4.542 -5.138 7.235
Te -2.703 -0.209 6.659
Te -6.101 -1.776 6.717

7.
4
Lattice="3.648 0.000 0.000 1.824 3.160 0.000 1.824 1.053 13.090" Properties=species:S:1:pos:R:3 comment="CsGd2Tm (PBE-GGA, optimized geometry)" magmom_total_mub_per_cell=14.73 spacegroup="R-3m (166)" e_form_ev_per_atom=0.310 total_energy_ry_per_atom=-0.5925 pbc="T T T"
Gd 1.824 1.053 9.314
Gd 5.473 3.160 3.777
Cs 0.000 0.000 0.000
Tm 3.648 2.106 6.545

8.
4
Lattice="3.673 0.000 0.000 1.836 3.181 0.000 1.836 1.060 13.179" Properties=species:S:1:pos:R:3 comment="CsGd2Y (PBE-GGA, optimized geometry)" magmom_total_mub_per_cell=14.77 spacegroup="R-3m (166)" e_form_ev_per_atom=0.303 total_energy_ry_per_atom=-0.6296 pbc="T T T"
Cs 0.000 0.000 0.000
Y 3.673 2.121 6.590
Gd 1.836 1.060 9.407
Gd 5.509 3.181 3.773

9.
16
Lattice="-6.744 -6.964 -5.533 -2.121 -3.370 6.826 -7.370 6.433 0.887" Properties=species:S:1:pos:R:3 comment="CsGe (PBE-GGA, optimized geometry)" magmom_total_mub_per_cell=0.00 e_above_lowest_polymorph_ev_per_atom=0.133 spacegroup="Pnma (62)" e_form_ev_per_atom=-0.083 total_energy_ry_per_atom=-0.2071 pbc="T T T"
Cs -3.532 -0.308 1.038
Cs -6.775 -3.903 -1.744
Cs -12.703 -3.593 1.142
Cs -9.460 0.002 3.924
Cs -7.093 2.873 1.502
Cs -10.508 -0.573 -1.260
Cs -9.142 -6.774 0.678
Cs -5.727 -3.328 3.439
Ge -6.230 -0.465 6.105
Ge -12.621 0.295 1.678
Ge -10.658 -4.473 -1.823
Ge -2.961 -3.158 -1.601
Ge -10.005 -3.435 -3.926
Ge -3.614 -4.196 0.502
Ge -5.577 0.572 4.003
Ge -13.274 -0.743 3.780

10.
4
Lattice="-1.517 3.057 1.402 0.354 -3.014 2.099 11.754 4.065 3.857" Properties=species:S:1:pos:R:3 comment="CsGe (PBE-GGA, optimized geometry)" magmom_total_mub_per_cell=0.00 e_above_lowest_polymorph_ev_per_atom=0.920 spacegroup="P6_3mc (186)" e_form_ev_per_atom=0.704 total_energy_ry_per_atom=-0.1493 pbc="T T T"
Cs 7.679 1.759 4.475
Cs 1.178 1.750 2.314
Ge 4.499 0.660 3.432
Ge 9.753 4.716 5.128

11.
12
Lattice="14.059 0.000 0.000 -7.030 12.176 0.000 0.000 0.000 4.166" Properties=species:S:1:pos:R:3 comment="CsGe (PBE-GGA, optimized geometry)" magmom_total_mub_per_cell=0.00 e_above_lowest_polymorph_ev_per_atom=0.140 spacegroup="P6_3/mmc (194)" e_form_ev_per_atom=-0.076 total_energy_ry_per_atom=-0.2066 pbc="T T T"
Cs 7.030 6.707 1.041
Cs -2.293 9.441 3.124
Cs 4.736 2.734 1.041
Cs 0.000 5.469 3.124
Cs 9.323 2.734 1.041
Cs 2.293 9.441 3.124
Ge 0.000 11.481 1.041
Ge 4.116 5.741 3.124
Ge -2.913 6.435 1.041
Ge 7.030 0.695 3.124
Ge 2.913 6.435 1.041
Ge 9.943 5.741 3.124

12.
8
Lattice="6.082 0.000 0.000 0.000 9.623 0.000 0.000 0.000 8.268" Properties=species:S:1:pos:R:3 comment="CsGe (PBE-GGA, optimized geometry)" magmom_total_mub_per_cell=0.00 e_above_lowest_polymorph_ev_per_atom=0.156 spacegroup="Immm (71)" e_form_ev_per_atom=-0.060 total_energy_ry_per_atom=-0.2055 pbc="T T T"
Cs 0.000 7.235 0.000
Cs 0.000 2.388 0.000
Cs 3.041 2.423 4.134
Cs 3.041 7.199 4.134
Ge 3.041 0.000 1.120
Ge 3.041 0.000 7.148
Ge 0.000 4.811 5.254
Ge 0.000 4.811 3.014

13.
12
Lattice="-2.689 1.908 -2.385 -6.397 -3.039 4.781 0.896 13.437 9.740" Properties=species:S:1:pos:R:3 comment="CsGe (PBE-GGA, optimized geometry)" magmom_total_mub_per_cell=0.00 e_above_lowest_polymorph_ev_per_atom=0.214 spacegroup="Pmmn (59)" e_form_ev_per_atom=-0.002 total_energy_ry_per_atom=-0.2012 pbc="T T T"
Cs -4.269 8.057 11.259
Cs -2.128 10.014 6.940
Cs -2.531 3.969 2.558
Cs -4.762 0.664 5.901
Cs -3.070 5.047 7.500
Cs -4.223 -0.414 0.959
Ge 0.480 7.680 5.603
Ge -6.878 10.391 12.597
Ge -7.644 -1.093 4.272
Ge 0.350 5.726 4.187
Ge -5.259 -2.499 3.931
Ge -2.034 7.132 4.528

14.
12
Lattice="10.689 0.000 0.000 0.000 10.689 0.000 0.000 0.000 10.689" Properties=species:S:1:pos:R:3 comment="CsGe (PBE-GGA, optimized geometry)" magmom_total_mub_per_cell=18.00 e_above_lowest_polymorph_ev_per_atom=1.017 spacegroup="Pm-3n (223)" e_form_ev_per_atom=0.801 total_energy_ry_per_atom=-0.1422 pbc="T T T"
Cs 2.672 5.345 0.000
Cs 8.017 5.345 0.000
Cs 5.345 0.000 2.672
Cs 5.345 0.000 8.017
Cs 0.000 2.672 5.345
Cs 0.000 8.017 5.345
Ge 2.672 0.000 5.345
Ge 8.017 0.000 5.345
Ge 0.000 5.345 2.672
Ge 0.000 5.345 8.017
Ge 5.345 2.672 0.000
Ge 5.345 8.017 0.000

15.
5
Lattice="5.738 0.000 0.000 0.000 5.738 0.000 0.000 0.000 5.738" Properties=species:S:1:pos:R:3 comment="CsGe4 (PBE-GGA, optimized geometry)" magmom_total_mub_per_cell=1.03 spacegroup="Pm-3m (221)" e_form_ev_per_atom=1.899 total_energy_ry_per_atom=-0.1444 pbc="T T T"
Cs 2.869 2.869 2.869
Ge 0.000 0.000 0.000
Ge 2.869 0.000 2.869
Ge 0.000 2.869 2.869
Ge 2.869 2.869 0.000

16.
8
Lattice="8.025 0.000 0.000 0.000 8.025 0.000 0.000 0.000 7.328" Properties=species:S:1:pos:R:3 comment="CsGe (PBE-GGA, optimized geometry)" magmom_total_mub_per_cell=0.00 e_above_lowest_polymorph_ev_per_atom=0.212 spacegroup="P4_2/mnm (136)" e_form_ev_per_atom=-0.004 total_energy_ry_per_atom=-0.2013 pbc="T T T"
Cs 1.447 1.447 0.000
Cs 5.460 2.565 3.664
Cs 2.565 5.460 3.664
Cs 6.578 6.578 0.000
Ge 3.217 4.808 0.000
Ge 7.230 7.230 3.664
Ge 0.795 0.795 3.664
Ge 4.808 3.217 0.000

17.
16
Lattice="10.559 0.000 0.000 0.000 10.559 0.000 0.000 0.000 10.559" Properties=species:S:1:pos:R:3 comment="CsGe (PBE-GGA, optimized geometry)" magmom_total_mub_per_cell=0.00 e_above_lowest_polymorph_ev_per_atom=0.101 spacegroup="I-43m (217)" e_form_ev_per_atom=-0.115 total_energy_ry_per_atom=-0.2095 pbc="T T T"
Cs 3.063 3.063 3.063
Cs 3.063 7.496 7.496
Cs 7.496 3.063 7.496
Cs 7.496 7.496 3.063
Cs 8.343 8.343 8.343
Cs 8.343 2.216 2.216
Cs 2.216 8.343 2.216
Cs 2.216 2.216 8.343
Ge 0.923 0.923 0.923
Ge 0.923 9.636 9.636
Ge 9.636 0.923 9.636
Ge 9.636 9.636 0.923
Ge 6.202 6.202 6.202
Ge 6.202 4.357 4.357
Ge 4.357 6.202 4.357
Ge 4.357 4.357 6.202

18.
4
Lattice="-4.628 -1.408 3.117 1.965 -3.351 1.404 4.811 4.423 3.820" Properties=species:S:1:pos:R:3 comment="CsGe (PBE-GGA, optimized geometry)" magmom_total_mub_per_cell=0.00 e_above_lowest_polymorph_ev_per_atom=0.113 spacegroup="Cmcm (63)" e_form_ev_per_atom=-0.103 total_energy_ry_per_atom=-0.2086 pbc="T T T"
Cs 2.242 1.770 4.123
Cs -0.093 -2.105 4.219
Ge 1.404 0.125 7.444
Ge 0.744 -0.460 0.898

19.
6
Lattice="4.511 0.000 0.000 0.000 7.003 -0.024 -2.256 -1.854 6.891" Properties=species:S:1:pos:R:3 comment="CsGe2 (PBE-GGA, optimized geometry)" magmom_total_mub_per_cell=0.00 e_above_lowest_polymorph_ev_per_atom=0.000 spacegroup="C2/m (12)" e_form_ev_per_atom=-0.072 total_energy_ry_per_atom=-0.2524 pbc="T T T"
Cs 0.000 1.813 1.310
Cs 2.256 3.335 5.557
Ge 2.256 -0.066 3.811
Ge 0.000 -0.176 5.094
Ge 2.256 5.324 1.773
Ge 0.000 5.215 3.056

20.
16
Lattice="-11.961 -0.894 -2.043 -1.164 -7.007 9.879 -0.782 4.074 2.797" Properties=species:S:1:pos:R:3 comment="CsGe (PBE-GGA, optimized geometry)" magmom_total_mub_per_cell=1.19 e_above_lowest_polymorph_ev_per_atom=0.208 spacegroup="I4/m (87)" e_form_ev_per_atom=-0.008 total_energy_ry_per_atom=-0.2016 pbc="T T T"
Cs -3.628 -6.373 8.266
Cs -9.497 -1.528 -0.431
Cs -1.668 -1.630 1.907
Cs -11.457 -6.271 5.929
Cs -9.417 -1.279 3.704
Cs -4.490 -2.548 6.929
Cs -8.621 -3.543 7.223
Cs -5.286 -0.284 3.410
Ge -5.624 -1.061 -0.028
Ge -7.501 -6.840 7.863
Ge -11.390 -4.043 2.702
Ge -1.735 -3.858 5.134
Ge -12.578 -2.975 5.289
Ge -1.329 -0.852 5.344
Ge -6.383 -5.062 10.062
Ge -7.524 1.235 0.571